The following is a DFT calculation (PBEsol) of Mg16Al12Sn after structural relaxation.

The structure in extended XYZ format:
```
29
Lattice="-5.246 5.246 5.246 5.246 -5.246 5.246 5.246 5.246 -5.246" Properties=species:S:1:pos:R:3 pbc="T T T"
Mg 3.445 3.445 -3.445
Mg 5.696 1.490 -1.490
Mg 3.445 -3.445 3.445
Mg 5.696 -1.490 1.490
Mg 4.797 1.490 1.490
Mg 3.756 3.756 -0.449
Mg 3.756 -0.449 3.756
Mg 1.802 1.802 1.802
Mg 1.490 5.696 -1.490
Mg 1.490 -1.490 5.696
Mg 1.490 4.797 1.490
Mg 1.490 1.490 4.797
Mg -3.445 3.445 3.445
Mg -1.490 5.696 1.490
Mg -1.490 1.490 5.696
Mg -0.449 3.756 3.756
Al 2.922 0.964 -0.964
Al 2.922 -0.964 0.964
Al 7.571 0.964 0.964
Al 0.964 2.922 -0.964
Al 0.964 -0.964 2.922
Al -0.964 2.922 0.964
Al -0.964 0.964 2.922
Al 4.282 4.282 2.324
Al 4.282 2.324 4.282
Al 0.964 7.571 0.964
Al 0.964 0.964 7.571
Al 2.324 4.282 4.282
Sn 0.000 0.000 0.000
```

Crystal system: cubic
Energy of formation from the pure elements: -0.003 eV per atom
Calculated density: 2.390 g cm⁻³
Space group: I-43m
Distance to the lowest polymorph of the same formula: 0.013 eV per atom

---

The following is a DFT calculation (PBEsol) of LiMn2F7 after structural relaxation.

The structure in extended XYZ format:
```
20
Lattice="2.678 -5.129 0.000 2.678 5.129 0.000 -2.387 0.000 9.239" Properties=species:S:1:pos:R:3 pbc="T T T"
Li 1.485 2.766 4.619
Li 2.678 -2.766 0.000
Mn 0.102 0.257 8.720
Mn 1.295 -0.257 4.101
Mn 4.030 0.516 2.668
Mn 2.836 -0.516 7.287
F -0.412 1.085 4.178
F 0.695 3.218 6.306
F -0.707 0.618 7.112
F 1.738 1.688 0.240
F -1.606 -1.085 8.797
F 0.487 -0.618 2.493
F 2.116 1.289 3.415
F 0.545 -1.688 4.859
F 1.998 0.286 5.781
F 3.191 -0.286 1.162
F 0.923 -1.289 8.035
F 2.116 0.947 8.249
F 1.888 -3.218 1.686
F 3.310 -0.947 3.630
```

Crystal system: monoclinic
Calculated density: 3.269 g cm⁻³
Uncorrected formation energy: -2.451 eV per atom
Space group: Cc
Distance to the lowest polymorph of the same formula: 0.058 eV per atom

---

The following is a DFT calculation (PBEsol) of IrRuF3 after structural relaxation.

The structure in extended XYZ format:
```
5
Lattice="4.162 0.000 0.000 0.000 4.162 0.000 0.000 0.000 4.162" Properties=species:S:1:pos:R:3 pbc="T T T"
Ir 0.000 0.000 0.000
Ru 2.081 2.081 2.081
F 0.000 0.000 2.081
F 0.000 2.081 0.000
F 2.081 0.000 0.000
```

Crystal system: cubic
Calculated density: 8.069 g cm⁻³
Uncorrected formation energy: 0.378 eV per atom
Space group: Pm-3m

---

Q: calculated density of number 3 (IrRuF3)?
A: 8.069 g cm⁻³

---

Q: calculated density of number 1 (Mg16Al12Sn)?
A: 2.390 g cm⁻³